This record from Alexandria via LeMat-Bulk describes ZnGeRuPb2 after structural relaxation. The functional is PBE.

Output
**Space-group type**: P4/mmm
**Mass density**: 8.3 g cm⁻³
**Energy relative to the elements**: 1091 meV per atom
**Size of the total moment**: 2.0 μB per formula unit

a b c (Å): 5.335 4.612 5.335
angles (deg): 90.00 90.00 90.00
Positions (direct):
1 Pb 0.500 0.000 0.000
2 Pb 0.000 0.000 0.500
3 Ge 0.000 0.500 0.000
4 Zn 0.000 0.000 0.000
5 Ru 0.500 0.500 0.500